[1]
Computed, not measured: Pr2TeP after structural relaxation at the GGA-PBE level of DFT.

Output
magnetization	0.0	μB per cell
formation energy from raw total energies	-6.14	eV/f.u.
calculated total energy	-6.0626	eV per atom
crystal system	trigonal

Cell and atoms, written as POSCAR:
```
Pr2TeP
1.0
4.250 0.000 0.000
2.125 3.680 0.000
2.125 1.227 7.578
Pr Te P
2 1 1
Direct
0.070 0.070 0.789
0.263 0.263 0.212
0.499 0.499 0.502
0.668 0.668 0.997
```

***

[2]
Computed, not measured: BeF2 after structural relaxation at the GGA-PBE level of DFT.

Output
magnetization	0.0	μB per cell
formation energy from raw total energies	-9.82	eV/f.u.
calculated total energy	-5.7623	eV per atom
crystal system	cubic

Cell and atoms, written as POSCAR:
```
BeF2
1.0
7.290 0.000 0.000
-2.430 6.873 0.000
-2.430 -3.436 5.952
Be F
6 12
Direct
0.250 0.500 0.750
0.750 0.250 0.500
0.500 0.250 0.750
0.250 0.750 0.500
0.750 0.500 0.250
0.500 0.750 0.250
0.287 0.693 0.693
0.000 0.594 0.307
0.713 0.406 0.406
0.594 0.307 0.000
0.693 0.693 0.287
0.307 0.594 0.000
0.307 0.000 0.594
0.594 0.000 0.307
0.693 0.287 0.693
0.406 0.406 0.713
0.406 0.713 0.406
0.000 0.307 0.594
```

***

[3]
Computed, not measured: KRb2TlBr after structural relaxation at the GGA-PBE level of DFT.

Output
magnetization	0.0	μB per cell
formation energy from raw total energies	-2.84	eV/f.u.
calculated total energy	-1.9818	eV per atom
crystal system	tetragonal

Cell and atoms, written as POSCAR:
```
KRb2TlBr
1.0
-6.517 1.268 0.056
-0.851 -4.149 -5.114
-0.899 -4.802 4.046
K Tl Br Rb
1 1 1 2
Direct
0.000 0.000 0.500
0.500 0.500 0.500
0.000 0.000 0.000
0.000 0.500 0.000
0.500 0.000 0.000
```

***

[4]
Computed, not measured: Sr2Zn2Au after structural relaxation at the GGA-PBE level of DFT.

Output
magnetization	0.0	μB per cell
ΔH_f (0 K)	-0.293	eV per atom
calculated total energy	-2.1308	eV per atom
crystal system	tetragonal

Cell and atoms, written as POSCAR:
```
Sr2Zn2Au
1.0
7.896 0.000 0.000
0.000 7.896 0.000
0.000 0.000 4.361
Sr Zn Au
4 4 2
Direct
0.187 0.687 0.500
0.687 0.813 0.500
0.813 0.313 0.500
0.313 0.187 0.500
0.386 0.886 0.000
0.886 0.614 0.000
0.614 0.114 0.000
0.114 0.386 0.000
0.000 0.000 0.000
0.500 0.500 0.000
```

***

[5]
Computed, not measured: Li2VCu after structural relaxation at the GGA-PBE level of DFT.

Output
magnetization	0.0	μB per cell
ΔH_f (0 K)	0.257	eV per atom
calculated total energy	-4.0036	eV per atom
crystal system	trigonal

Cell and atoms, written as POSCAR:
```
Li2VCu
1.0
2.560 0.000 0.000
1.280 2.217 0.000
1.280 0.739 9.621
Li Cu V
2 1 1
Direct
0.090 0.090 0.730
0.910 0.910 0.270
0.500 0.500 0.500
0.000 0.000 0.000
```

***

[6]
Computed, not measured: CeNd12Sm5 after structural relaxation at the GGA-PBE level of DFT.

Output
magnetization	1.1	μB per cell
ΔH_f (0 K)	0.028	eV per atom
calculated total energy	-4.7908	eV per atom
crystal system	orthorhombic

Cell and atoms, written as POSCAR:
```
CeNd12Sm5
1.0
15.543 0.000 -0.025
7.771 7.762 -0.012
0.008 0.000 5.179
Ce Nd Sm
1 12 5
Direct
0.000 0.000 0.000
0.836 0.000 0.500
0.164 0.000 0.500
0.666 0.000 0.000
0.334 0.000 0.000
0.331 0.668 0.000
0.001 0.668 0.000
0.999 0.332 0.000
0.669 0.332 0.000
0.499 0.333 0.500
0.832 0.667 0.500
0.168 0.333 0.500
0.501 0.667 0.500
0.500 0.000 0.500
0.165 0.670 0.500
0.835 0.330 0.500
0.667 0.666 0.000
0.333 0.334 0.000
```

***

Q: magnetization of number 4 (Sr2Zn2Au)?
A: 0.0 μB per cell